Entry 1:
Pu4Ge3Pt | PBE-GGA | relaxed

Output
energy relative to the elements: -252 meV/atom
VASP energy: -9.90 eV per atom
DOS(E_F): 22.214 states/eV/cell

Structure (POSCAR):
```
Pu4Ge3Pt
1.0
-3.3496 0.2345 -0.8241
-0.7307 -3.8803 1.8662
-2.1284 5.2850 10.1554
Pu Ge Pt
4 3 1
Cartesian
-3.5596 1.9501 7.7710 Pu
-0.7949 -0.8737 2.9823 Pu
-0.6994 1.7367 3.3371 Pu
-1.7578 0.3232 -0.0163 Pu
-2.3656 3.0266 10.4769 Ge
-1.7218 4.2753 8.2152 Ge
-2.8285 2.9819 5.0925 Ge
-2.9469 0.4284 4.8471 Pt
```



Entry 2:
PuGe3Pt | PBE-GGA | relaxed

Output
energy relative to the elements: -423 meV/atom
VASP energy: -7.27 eV per atom
DOS(E_F): 48.525 states/eV/cell

Structure (POSCAR):
```
PuGe3Pt
1.0
4.1837 0.0000 0.0000
0.0000 8.4718 0.0000
0.0000 0.0000 11.1487
Pu Ge Pt
4 12 4
Cartesian
3.1378 6.7663 0.2722 Pu
1.0459 5.9414 5.8465 Pu
3.1378 2.5304 5.3022 Pu
1.0459 1.7055 10.8765 Pu
1.0459 4.7741 0.8822 Ge
3.1378 3.6978 10.2665 Ge
1.0459 0.5381 4.6921 Ge
3.1378 7.9337 6.4566 Ge
1.0459 3.1214 7.3884 Ge
3.1378 1.1145 1.8140 Ge
1.0459 7.3573 9.3347 Ge
3.1378 4.8481 7.6149 Ge
1.0459 3.6237 3.5338 Ge
3.1378 0.6122 9.1081 Ge
3.1378 5.3505 3.7603 Ge
1.0459 7.8597 2.0406 Ge
1.0459 0.6135 7.4405 Pt
1.0459 4.8494 9.2825 Pt
3.1378 3.6224 1.8662 Pt
3.1378 7.8583 3.7082 Pt
```